Density functional theory data (PBE) for a relaxed structure of ReOsAu.

Unit cell a=4.9073 b=4.9073 c=4.9073 alpha=146.35 beta=134.02 gamma=58.18
Closest atoms and distances in Å follow each position.
Fractional positions:
Re 0.6794 0.6794 0.0000  4 Os 2.67, 5 Au 2.75-2.84, 2 Re 2.84
Os 0.3204 0.3204 0.0000  4 Re 2.67, 5 Au 2.75-2.84, 2 Os 2.84
Au 0.0001 0.0001 0.0000  5 Os 2.75-2.84, 5 Re 2.75-2.84, 2 Au 2.84

- Energy of formation: 0.3732 eV/atom
- Energy above the most stable polymorph in this dataset: 0.1548 eV/atom
- Fermi-level density of states: 2.09 states/eV/cell
- Spin magnetization: 0.00 μB/cell
- Crystal system: orthorhombic
- E: -25.8 eV for the cell shown

Density functional theory data (PBE) for a relaxed structure of ReOs2Au.

Unit cell a=3.8527 b=3.9633 c=3.9633 alpha=90.00 beta=90.00 gamma=90.00
Closest atoms and distances in Å follow each position.
Fractional positions:
Re 0.5000 0.5000 0.0000  8 Os 2.76, 4 Au 2.80
Au 0.5000 0.0000 0.5000  8 Os 2.76, 4 Re 2.80
Os 0.0000 0.5000 0.5000  4 Au 2.76, 4 Re 2.76, 4 Os 2.80
Os 0.0000 0.0000 0.0000  4 Re 2.76, 4 Au 2.76, 4 Os 2.80

- Energy of formation: 0.5845 eV/atom
- Energy above the most stable polymorph in this dataset: 0.3514 eV/atom
- Fermi-level density of states: 3.97 states/eV/cell
- Spin magnetization: 0.00 μB/cell
- Crystal system: tetragonal
- E: -35.8 eV for the cell shown

Density functional theory data (PBE) for a relaxed structure of ReOs2Au.

Unit cell a=7.2361 b=7.2361 c=5.7771 alpha=51.22 beta=51.22 gamma=90.00
Closest atoms and distances in Å follow each position.
Fractional positions:
Os 0.8750 0.8278 0.7500  2 Re 2.42
Re 0.5000 0.5000 0.0000  4 Os 2.42, 2 Au 2.68
Os 0.5778 0.1250 0.2500  2 Re 2.42
Au 0.7500 0.2500 0.5000  2 Re 2.68, 4 Os 2.89
Os 0.3750 0.4222 0.7500  2 Re 2.42
Re 0.2500 0.7500 0.5000  4 Os 2.42, 2 Au 2.68
Au 0.0000 0.0000 0.0000  2 Re 2.68, 4 Os 2.89
Os 0.1722 0.6250 0.2500  2 Re 2.42

- Energy of formation: 0.9257 eV/atom
- Energy above the most stable polymorph in this dataset: 0.6925 eV/atom
- Fermi-level density of states: 0.76 states/eV/cell
- Spin magnetization: 0.00 μB/cell
- Crystal system: tetragonal
- E: -69.0 eV for the cell shown

Density functional theory data (PBE) for a relaxed structure of ReOs2Au.

Unit cell a=2.7602 b=2.7602 c=8.0264 alpha=90.00 beta=90.00 gamma=90.00
Closest atoms and distances in Å follow each position.
Fractional positions:
Os 0.5000 0.5000 0.2442  8 Os 2.67-2.76, 4 Re 2.76
Au 0.5000 0.5000 0.7499  4 Au 2.76, 4 Re 2.87, 4 Os 2.91
Re 0.0000 0.0000 0.4878  4 Re 2.76, 4 Os 2.76, 4 Au 2.87
Os 0.0000 0.0000 0.0181  8 Os 2.67-2.76, 4 Au 2.91

- Energy of formation: 0.3686 eV/atom
- Energy above the most stable polymorph in this dataset: 0.1355 eV/atom
- Fermi-level density of states: 3.96 states/eV/cell
- Spin magnetization: 0.00 μB/cell
- Crystal system: tetragonal
- E: -36.7 eV for the cell shown